1.
Material: BaEuCuGe
Method: DFT, PBE-GGA
State: optimized geometry

The structure belongs to space group F-43m (No. 216); the cell edges are 7.717, 7.717 and 7.717 Å and the angles 90.00°, 90.00° and 90.00°. The distinct sites, in fractional coordinates, are Ba at (0.000, 0.000, 0.000), Eu at (0.000, 0.000, 0.500), Cu at (0.250, 0.250, 0.250) and Ge at (0.250, 0.250, 0.750).

As for the density of states at the Fermi level: 45.94 states/eV/cell. The formation energy is -0.228 eV per atom. The value obtained for the density is 6.1 g cm⁻³.


2.
Material: BaEuInCu
Method: DFT, PBE-GGA
State: optimized geometry

The structure belongs to space group F-43m (No. 216); the cell edges are 8.000, 8.000 and 8.000 Å and the angles 90.00°, 90.00° and 90.00°. The distinct sites, in fractional coordinates, are Ba at (0.000, 0.000, 0.000), Eu at (0.000, 0.000, 0.500), In at (0.250, 0.250, 0.250) and Cu at (0.250, 0.250, 0.750).

As for the density of states at the Fermi level: 42.11 states/eV/cell. The formation energy is -0.119 eV per atom. The value obtained for the density is 6.1 g cm⁻³.


3.
Material: Ba4Eu2Cu6O13
Method: DFT, PBE-GGA
State: optimized geometry

The structure belongs to space group Fmmm (No. 69); the cell edges are 7.753, 7.897 and 24.218 Å and the angles 90.00°, 90.00° and 90.00°. The distinct sites, in fractional coordinates, are Ba at (0.242, 0.000, 0.096), Eu at (0.250, 0.000, 0.250), Cu at (0.000, 0.240, 0.000), Cu at (0.000, 0.249, 0.320), O at (0.000, 0.000, 0.000), O at (0.000, 0.000, 0.185), O at (0.000, 0.000, 0.312), O at (0.000, 0.227, 0.426) and O at (0.250, 0.250, 0.187).

As for the density of states at the Fermi level: 72.77 states/eV/cell. Its raw formation energy is -1.69 eV per atom. The value obtained for the density is 6.5 g cm⁻³.


4.
Material: Ba4PrEuCu6O14
Method: DFT, PBE-GGA
State: optimized geometry

The structure belongs to space group Cmmm (No. 65); the cell edges are 7.878, 23.864 and 3.885 Å and the angles 90.00°, 90.00° and 90.00°. The distinct sites, in fractional coordinates, are Ba at (0.000, 0.160, 0.000), Ba at (0.000, 0.339, 0.000), Pr at (0.000, 0.500, 0.000), Eu at (0.000, 0.000, 0.000), Cu at (0.248, 0.077, 0.500), Cu at (0.250, 0.250, 0.500), O at (0.000, 0.064, 0.500), O at (0.000, 0.250, 0.500), O at (0.000, 0.435, 0.500), O at (0.248, 0.064, 0.000) and O at (0.250, 0.171, 0.500).

As for the density of states at the Fermi level: 33.30 states/eV/cell. Its raw formation energy is -1.71 eV per atom. The value obtained for the density is 6.6 g cm⁻³.


5.
Material: BaEuCuPb
Method: DFT, PBE-GGA
State: optimized geometry

The structure belongs to space group F-43m (No. 216); the cell edges are 8.066, 8.066 and 8.066 Å and the angles 90.00°, 90.00° and 90.00°. The distinct sites, in fractional coordinates, are Ba at (0.000, 0.000, 0.000), Eu at (0.000, 0.000, 0.500), Cu at (0.250, 0.250, 0.250) and Pb at (0.250, 0.250, 0.750).

As for the density of states at the Fermi level: 54.98 states/eV/cell. The formation energy is -0.211 eV per atom. The value obtained for the density is 7.1 g cm⁻³.


6.
Material: BaEuCuPd
Method: DFT, PBE-GGA
State: optimized geometry

The structure belongs to space group F-43m (No. 216); the cell edges are 7.591, 7.591 and 7.591 Å and the angles 90.00°, 90.00° and 90.00°. The distinct sites, in fractional coordinates, are Ba at (0.000, 0.000, 0.000), Eu at (0.000, 0.000, 0.500), Cu at (0.250, 0.250, 0.250) and Pd at (0.250, 0.250, 0.750).

As for the density of states at the Fermi level: 43.57 states/eV/cell. The formation energy is -0.253 eV per atom. The value obtained for the density is 7.0 g cm⁻³.